[1]
Entry from Alexandria: a relaxed structure of DyCuAu (GGA-PBE).

The structure in POSCAR format:
```
DyCuAu
1.0
0.000 3.189 3.189
3.189 0.000 3.189
3.189 3.189 0.000
Dy Cu Au
1 1 1
Cartesian
0.000 0.000 0.000 Dy
1.595 1.595 1.595 Cu
3.189 3.189 3.189 Au
```

Output
The size of the total moment comes out at 0.0 μB/f.u. For the energy above the most stable polymorph in this dataset, the calculation gives 0.173 eV per atom. The value obtained for the energy is -13.15 eV for the cell shown. Its space group is No. 216.


[2]
Entry from Alexandria: a relaxed structure of Gd2AlTc (GGA-PBE).

The structure in POSCAR format:
```
Gd2AlTc
1.0
3.584 0.000 0.000
0.000 3.584 0.000
0.000 0.000 6.969
Gd Al Tc
2 1 1
Cartesian
0.000 0.000 1.615 Gd
0.000 0.000 5.354 Gd
1.792 1.792 3.485 Al
1.792 1.792 0.000 Tc
```

Output
The size of the total moment comes out at 13.9 μB/f.u. The value obtained for the energy is -42.82 eV for the cell shown. Its space group is No. 123.


[3]
Entry from Alexandria: a relaxed structure of MnZnH2 (GGA-PBE).

The structure in POSCAR format:
```
MnZnH2
1.0
1.412 0.815 4.844
-1.412 0.815 4.844
0.000 -1.631 4.844
Mn Zn H
1 1 2
Cartesian
0.000 0.000 0.000 Mn
0.000 0.000 11.922 Zn
0.000 0.000 5.396 H
0.000 0.000 8.915 H
```

Output
The size of the total moment comes out at 2.2 μB/f.u. For the energy above the most stable polymorph in this dataset, the calculation gives 0.035 eV per atom. The value obtained for the energy is -16.72 eV for the cell shown. Its space group is No. 160.


[4]
Entry from Alexandria: a relaxed structure of PmPr2Y6Sc3 (GGA-PBE).

The structure in POSCAR format:
```
PmPr2Y6Sc3
1.0
3.069 -5.316 0.000
3.069 5.316 0.000
-2.047 0.000 11.423
Pm Pr Y Sc
1 2 6 3
Cartesian
0.000 0.000 0.000 Pm
3.069 1.772 0.000 Pr
3.069 -1.772 0.000 Pr
1.023 1.770 2.999 Y
-0.004 0.000 8.423 Y
1.023 -1.770 2.999 Y
3.069 1.770 8.424 Y
4.095 0.000 2.999 Y
3.069 -1.770 8.424 Y
2.046 3.544 5.711 Sc
2.046 0.000 5.711 Sc
2.046 -3.544 5.711 Sc
```

Output
The size of the total moment comes out at 0.0 μB/f.u. The value obtained for the energy is -71.45 eV for the cell shown. Its space group is No. 12.